A relaxed NdSeO4F crystal. Source: Alexandria, functional PBE.

abc: 6.0239 6.0239 6.8957
angles: 102.39 102.39 76.22
Last column: nearest neighbours and their distance in Å.
Sites, in units of the cell vectors:
Nd1 0.2072 0.2072 0.1227  2 F 2.29-2.31, 4 O 2.44-2.45
Nd2 0.7928 0.7928 0.8773  2 F 2.29-2.31, 4 O 2.44-2.45
Se1 0.3496 0.3496 0.7226  4 O 1.65-1.69
Se2 0.6504 0.6504 0.2774  4 O 1.65-1.69
O1 0.1328 0.4798 0.8549  1 Se 1.69
O2 0.2453 0.2453 0.4889  1 Se 1.65
O3 0.4742 0.4742 0.2634  1 Se 1.65
O4 0.4798 0.1328 0.8549  1 Se 1.69
O5 0.5202 0.8672 0.1451  1 Se 1.69
O6 0.5258 0.5258 0.7366  1 Se 1.65
O7 0.7547 0.7547 0.5111  1 Se 1.65
O8 0.8672 0.5202 0.1451  1 Se 1.69
F1 0.0219 0.0219 0.8257  2 Nd 2.29-2.31, 1 F 2.55
F2 0.9781 0.9781 0.1743  2 Nd 2.29-2.31, 1 F 2.55

Formation energy (no corrections) (eV/atom): -2.0394
Spin magnetization (μB per cell): 0.00